Entry 1:
The following is a GGA-PBE calculation of a geometry-optimized VP2Pd structure, from Alexandria via LeMat-Bulk.

Computed properties:
* magnetic moment: 0.00 μB/f.u.
* space-group type: R-3m, No. 166
* energy of formation: -0.26 eV/atom
* V: 56 Å³/cell
* energy above the lowest structure with this stoichiometry: 48.4 meV per atom

Lattice parameters (Å, degrees): 2.9489 2.9489 7.6263 78.85 78.85 60.00
Fractional coordinates of all 4 atoms:
V 0.0000 0.0000 0.0000
Pd 0.5000 0.5000 0.5000
P 0.2570 0.2570 0.2291
P 0.7430 0.7430 0.7709

=====

Entry 2:
The following is a GGA-PBE calculation of a geometry-optimized RbIBrN2 structure, from Alexandria via LeMat-Bulk.

Computed properties:
* magnetic moment: 7.04 μB/f.u.
* space-group type: P4/mmm, No. 123
* V: 231 Å³/cell
* energy above the lowest structure with this stoichiometry: 342.5 meV per atom

Lattice parameters (Å, degrees): 5.7343 5.7343 7.0099 90.00 90.00 90.00
Last column: magnetic moment on the atom in μB.
Fractional coordinates of all 5 atoms:
Rb 0.0000 0.0000 0.0000  0.05
I 0.0000 0.0000 0.5000  0.43
N 0.5000 0.0000 0.0000  1.84
Br 0.5000 0.5000 0.5000  0.51
N 0.0000 0.5000 0.0000  1.84